[1]
The following is a PBE-GGA calculation of an optimized crystal structure of Mn2FeIr, from the Alexandria database.

a b c (Å): 2.9035 2.9035 5.9696
angles (deg): 90.00 90.00 90.00
Last column: nearest neighbours and their distance in Å.
Atoms (fractional coordinates):
Mn 0.0000 0.0000 0.2307  4 Fe 2.47, 4 Ir 2.61, 1 Mn 2.75
Mn 0.0000 0.0000 0.7693  4 Fe 2.47, 4 Ir 2.61, 1 Mn 2.75
Fe 0.5000 0.5000 0.0000  8 Mn 2.47
Ir 0.5000 0.5000 0.5000  8 Mn 2.61, 4 Ir 2.90

Values from the calculation:
symmetry: No. 123
total energy: -8.935 eV/atom


[2]
The following is a PBE-GGA calculation of an optimized crystal structure of MnFe2Ir, from the Alexandria database.

a b c (Å): 8.5131 8.5131 8.5131
angles (deg): 17.75 17.75 17.75
Last column: nearest neighbours and their distance in Å.
Atoms (fractional coordinates):
Mn 0.0000 0.0000 0.0000  3 Fe 2.48, 6 Mn 2.63, 3 Ir 2.63
Fe 0.2552 0.2552 0.2552  3 Mn 2.48, 9 Fe 2.59-2.63
Fe 0.5050 0.5050 0.5050  9 Fe 2.59-2.63, 3 Ir 2.64
Ir 0.7521 0.7521 0.7521  6 Ir 2.63, 3 Mn 2.63, 3 Fe 2.64

Values from the calculation:
symmetry: No. 160
total energy: -8.677 eV/atom


[3]
The following is a PBE-GGA calculation of an optimized crystal structure of Mn2FeIr, from the Alexandria database.

a b c (Å): 4.1468 4.1468 4.1468
angles (deg): 60.00 60.00 60.00
Last column: nearest neighbours and their distance in Å.
Atoms (fractional coordinates):
Mn 0.0000 0.0000 0.0000  4 Ir 2.54, 4 Mn 2.54
Mn 0.2500 0.2500 0.2500  4 Mn 2.54, 4 Fe 2.54
Fe 0.5000 0.5000 0.5000  4 Ir 2.54, 4 Mn 2.54
Ir 0.7500 0.7500 0.7500  4 Fe 2.54, 4 Mn 2.54

Values from the calculation:
symmetry: No. 216
total energy: -8.861 eV/atom


[4]
The following is a PBE-GGA calculation of an optimized crystal structure of MnFeMoIr, from the Alexandria database.

a b c (Å): 4.2675 4.2675 4.2675
angles (deg): 60.00 60.00 60.00
Last column: nearest neighbours and their distance in Å.
Atoms (fractional coordinates):
Mn 0.0000 0.0000 0.0000  4 Mo 2.61, 4 Ir 2.61
Fe 0.5000 0.5000 0.5000  4 Ir 2.61, 4 Mo 2.61
Mo 0.7500 0.7500 0.7500  4 Fe 2.61, 4 Mn 2.61
Ir 0.2500 0.2500 0.2500  4 Fe 2.61, 4 Mn 2.61

Values from the calculation:
symmetry: No. 216
total energy: -9.361 eV/atom


The highest total energy belongs to which entry? MnFe2Ir